[1]
Density functional theory data (PBE) for ReAg2Au after structural relaxation.

Output
calculated volume: 69.7 Å³ per cell
energy of formation from the pure elements: 819 meV/atom
total magnetization: 2.1 μB/f.u.

Unit cell a=3.9339 b=3.9339 c=4.5012 alpha=90.00 beta=90.00 gamma=90.00
With the nearest neighbours (Å) after each atom.
Space group P4/mmm (No. 123)
One atom of each set of equivalent atoms:
Re  0.0000  0.0000  0.0000 (multiplicity 1)  4 Au 2.78, 8 Ag 2.99
Ag  0.0000  0.5000  0.5000 (multiplicity 2)  4 Ag 2.78, 4 Re 2.99, 4 Au 2.99
Au  0.5000  0.5000  0.0000 (multiplicity 1)  4 Re 2.78, 8 Ag 2.99

---

[2]
Density functional theory data (PBE) for ReAg2Au after structural relaxation.

Output
calculated volume: 135.6 Å³ per cell
energy of formation from the pure elements: 546 meV/atom
total magnetization: 0.4 μB/f.u.

Unit cell a=9.5806 b=2.7235 c=5.2372 alpha=90.00 beta=97.16 gamma=90.00
With the nearest neighbours (Å) after each atom.
Space group Cm (No. 8)
One atom of each set of equivalent atoms:
Re  0.0000  0.0000  0.0000 (multiplicity 2)  2 Re 2.72, 3 Au 2.81-2.82, 7 Ag 2.94-2.97
Ag  0.9999  0.5000  0.4965 (multiplicity 2)  5 Ag 2.72-2.91, 3 Au 2.93-3.02, 4 Re 2.94-2.97
Ag  0.2533  0.0000  0.7263 (multiplicity 2)  5 Ag 2.72-2.91, 4 Au 2.90-3.01, 3 Re 2.94-2.97
Au  0.2449  0.5000  0.2119 (multiplicity 2)  2 Au 2.72, 3 Re 2.81-2.82, 7 Ag 2.90-3.02

---

[3]
Density functional theory data (PBE) for ReAg2Au after structural relaxation.

Output
calculated volume: 68.1 Å³ per cell
energy of formation from the pure elements: 540 meV/atom
total magnetization: 0.7 μB/f.u.

Unit cell a=2.7195 b=4.2423 c=5.9063 alpha=90.00 beta=90.00 gamma=90.00
With the nearest neighbours (Å) after each atom.
Space group Pmm2 (No. 25)
One atom of each set of equivalent atoms:
Re  0.0000  0.0000  0.0000 (multiplicity 1)  2 Re 2.72, 4 Au 2.84, 6 Ag 2.94-2.97
Ag  0.0000  0.0000  0.5021 (multiplicity 1)  6 Ag 2.72-2.91, 2 Re 2.94-2.97, 4 Au 3.01
Ag  0.5000  0.5000  0.2572 (multiplicity 1)  6 Ag 2.72-2.91, 1 Au 2.82, 4 Re 2.94
Au  0.5000  0.5000  0.7797 (multiplicity 1)  2 Au 2.72, 5 Ag 2.82-3.01, 4 Re 2.84